# 1
An optimized crystal structure of Cs4Na2Hg. Source: Alexandria via LeMat-Bulk, functional GGA-PBE.

Summary:
- offset from the most stable computed form (eV per atom) = 0.052

a = 7.3016 Å, b = 7.3016 Å, c = 21.5078 Å
α = 90.00°, β = 90.00°, γ = 90.00°
Space group I4/mmm (No. 139)
One atom of each set of equivalent atoms:
Cs: 0.0000 0.0000 0.1835 [4 per cell]
Cs: 0.0000 0.5000 0.0000 [4 per cell]
Na: 0.0000 0.0000 0.3828 [4 per cell]
Hg: 0.0000 0.0000 0.0000 [2 per cell]

# 2
An optimized crystal structure of Cs3Na2Hg3. Source: Alexandria via LeMat-Bulk, functional GGA-PBE.

Summary:
- final energy (eV/cell) = -30.481

a = 5.4638 Å, b = 14.8892 Å, c = 18.2439 Å
α = 90.00°, β = 90.00°, γ = 90.00°
Space group Cmcm (No. 63)
One atom of each set of equivalent atoms:
Cs: 0.0000 0.0672 0.1153 [8 per cell]
Cs: 0.0000 0.3607 0.2500 [4 per cell]
Na: 0.0000 0.2237 0.5755 [8 per cell]
Hg: 0.0000 0.3277 0.7500 [4 per cell]
Hg: 0.0000 0.3966 0.0335 [8 per cell]

# 3
An optimized crystal structure of Cs5Na2Hg2. Source: Alexandria via LeMat-Bulk, functional GGA-PBE.

Summary:
- final energy (eV/cell) = -32.941

a = 22.0427 Å, b = 11.4139 Å, c = 9.6395 Å
α = 90.00°, β = 90.00°, γ = 90.00°
Space group Ima2 (No. 46)
One atom of each set of equivalent atoms:
Cs: 0.0752 0.1856 0.0000 [8 per cell]
Cs: 0.1406 0.7457 0.4241 [8 per cell]
Cs: 0.2500 0.0780 0.6654 [4 per cell]
Na: 0.0000 0.0000 0.3632 [4 per cell]
Na: 0.2500 0.0284 0.1865 [4 per cell]
Hg: 0.0658 0.5300 0.1654 [8 per cell]

# 4
An optimized crystal structure of Cs5Na2Hg12. Source: Alexandria via LeMat-Bulk, functional GGA-PBE.

Summary:
- final energy (eV/cell) = -29.033

a = 19.6706 Å, b = 8.7631 Å, c = 8.3234 Å
α = 90.00°, β = 93.21°, γ = 90.00°
Space group C2/m (No. 12)
One atom of each set of equivalent atoms:
Cs: 0.0000 0.0000 0.0000 [2 per cell]
Cs: 0.2032 0.5000 0.5429 [4 per cell]
Cs: 0.2399 0.0000 0.9370 [4 per cell]
Na: 0.0000 0.2806 0.5000 [4 per cell]
Hg: 0.0501 0.5000 0.1958 [4 per cell]
Hg: 0.0965 0.3202 0.8502 [8 per cell]
Hg: 0.1044 0.0000 0.5888 [4 per cell]
Hg: 0.1313 0.1924 0.2619 [8 per cell]

# 5
An optimized crystal structure of Cs3Na5Hg3. Source: Alexandria via LeMat-Bulk, functional GGA-PBE.

Summary:
- final energy (eV/cell) = -11.276

a = 9.6751 Å, b = 9.6751 Å, c = 7.2999 Å
α = 90.00°, β = 90.00°, γ = 120.00°
Space group P-62m (No. 189)
One atom of each set of equivalent atoms:
Cs: 0.0000 0.6523 0.0000 [3 per cell]
Na: 0.0000 0.2644 0.5000 [3 per cell]
Na: 0.3333 0.6667 0.5000 [2 per cell]
Hg: 0.0000 0.6277 0.5000 [3 per cell]

# 6
An optimized crystal structure of Cs2Na5Hg12. Source: Alexandria via LeMat-Bulk, functional GGA-PBE.

Summary:
- final energy (eV/cell) = -47.831

a = 11.0889 Å, b = 11.0889 Å, c = 16.4237 Å
α = 90.00°, β = 90.00°, γ = 120.00°
Space group R-3m (No. 166, hexagonal axes)
One atom of each set of equivalent atoms:
Cs: 0.0000 0.0000 0.1429 [6 per cell]
Na: 0.0000 0.0000 0.4046 [6 per cell]
Na: 0.0000 0.5000 0.0000 [9 per cell]
Hg: 0.0000 0.2895 0.5000 [18 per cell]
Hg: 0.0231 0.5115 0.3599 [18 per cell]

# 7
An optimized crystal structure of CsNa4Hg3. Source: Alexandria via LeMat-Bulk, functional GGA-PBE.

Summary:
- final energy (eV/cell) = -8.354

a = 5.1167 Å, b = 5.1167 Å, c = 11.1045 Å
α = 90.00°, β = 90.00°, γ = 90.00°
Space group P4/mmm (No. 123)
One atom of each set of equivalent atoms:
Cs: 0.0000 0.0000 0.0000 [1 per cell]
Na: 0.0000 0.5000 0.3337 [4 per cell]
Hg: 0.0000 0.0000 0.5000 [1 per cell]
Hg: 0.5000 0.5000 0.1445 [2 per cell]

# 8
An optimized crystal structure of CsNaNiHg2. Source: Alexandria via LeMat-Bulk, functional GGA-PBE.

Summary:
- final energy (eV/cell) = -8.578

a = 5.2759 Å, b = 5.2759 Å, c = 5.4817 Å
α = 90.00°, β = 90.00°, γ = 90.00°
Space group P4/mmm (No. 123)
One atom of each set of equivalent atoms:
Cs: 0.0000 0.0000 0.0000 [1 per cell]
Na: 0.5000 0.5000 0.0000 [1 per cell]
Ni: 0.5000 0.5000 0.5000 [1 per cell]
Hg: 0.0000 0.5000 0.5000 [2 per cell]

Number 1: M_tot 0.0 μB per cell. Number 2: M_tot 0.0 μB per cell. Number 3: M_tot 0.0 μB per cell. Number 4: M_tot 0.0 μB per cell. Number 5: M_tot 0.0 μB per cell. Number 6: M_tot 0.0 μB per cell. Number 7: M_tot 0.0 μB per cell. Number 8: M_tot 0.0 μB per cell.